(1)
An optimized crystal structure of Ca2Re2Ir, computed with PBE-GGA.

Cell: 3.4926 3.4926 18.3087 Å, 90.00 90.00 90.00°
Last column: nearest neighbours and their distance in Å.
Space group I4/mmm (No. 139)
One atom of each set of equivalent atoms:
Ca1 0.0000 0.0000 0.0941 [4 per cell]  4 Ir 3.01, 4 Re 3.35
Re1 0.0000 0.5000 0.2500 [4 per cell]  4 Re 2.47
Ir1 0.0000 0.0000 0.5000 [2 per cell]  8 Ca 3.01

Computed properties:
crystal system = tetragonal

=====

(2)
An optimized crystal structure of CaRe3Ir, computed with PBE-GGA.

Cell: 4.4761 4.4761 4.4761 Å, 90.00 90.00 90.00°
Last column: nearest neighbours and their distance in Å.
Space group Pm-3m (No. 221)
One atom of each set of equivalent atoms:
Ca1 0.0000 0.0000 0.0000 [1 per cell]  6 Re 2.24
Re1 0.0000 0.0000 0.5000 [3 per cell]  2 Ca 2.24
Ir1 0.5000 0.5000 0.5000 [1 per cell]  12 Re 3.17

Computed properties:
crystal system = cubic

=====

(3)
An optimized crystal structure of CaReIr, computed with PBE-GGA.

Cell: 5.1533 4.5052 5.9590 Å, 90.00 115.53 90.00°
Last column: nearest neighbours and their distance in Å.
Space group Pm (No. 6)
One atom of each set of equivalent atoms:
Ca1 0.0000 0.0000 0.0000 [1 per cell]  4 Re 3.00-3.35, 4 Ir 3.06-3.30
Ca2 0.4934 0.5000 0.0005 [1 per cell]  2 Re 2.99-3.19, 4 Ir 3.07-3.30
Re1 0.3737 0.0000 0.5493 [1 per cell]  4 Ir 2.56-2.65, 2 Re 2.72
Re2 0.6695 0.5000 0.5495 [1 per cell]  4 Ir 2.56-2.65, 2 Re 2.72
Ir1 0.1149 0.5000 0.4379 [1 per cell]  4 Re 2.56-2.65, 2 Ir 2.73
Ir2 0.8173 0.0000 0.4381 [1 per cell]  4 Re 2.56-2.65, 2 Ir 2.73

Computed properties:
crystal system = monoclinic

=====

(4)
An optimized crystal structure of CaReIr, computed with PBE-GGA.

Cell: 4.3723 7.4660 7.2885 Å, 90.00 90.00 90.00°
Last column: nearest neighbours and their distance in Å.
Space group Imm2 (No. 44)
One atom of each set of equivalent atoms:
Ca1 0.0000 0.0000 0.0000 [2 per cell]  6 Ir 3.07-3.08, 6 Re 3.23-3.41, 2 Ca 3.38
Ca2 0.0000 0.5000 0.1465 [2 per cell]  6 Re 3.02-3.19, 6 Ir 3.27-3.34, 2 Ca 3.38
Re1 0.0000 0.1601 0.4121 [4 per cell]  1 Re 2.39, 3 Ir 2.57-2.59
Ir1 0.0000 0.3160 0.7290 [4 per cell]  3 Re 2.57-2.59, 1 Ir 2.75

Computed properties:
crystal system = orthorhombic

=====

(5)
An optimized crystal structure of CaReIr, computed with PBE-GGA.

Cell: 4.0128 5.8360 6.5553 Å, 95.97 107.82 110.02°
Last column: nearest neighbours and their distance in Å.
Space group P-1 (No. 2)
One atom of each set of equivalent atoms:
Ca1 0.2166 0.1347 0.2981 [2 per cell]  5 Ir 3.11-3.20, 3 Re 3.20-3.46
Re1 0.3572 0.6190 0.0959 [2 per cell]  3 Ir 2.52-2.62, 2 Re 2.54
Ir1 0.0482 0.4250 0.6712 [2 per cell]  1 Ir 2.46, 3 Re 2.52-2.62

Computed properties:
crystal system = triclinic

=====

(6)
An optimized crystal structure of CaReIr, computed with PBE-GGA.

Cell: 5.3761 4.1680 5.8748 Å, 90.00 103.39 90.00°
Last column: nearest neighbours and their distance in Å.
Space group P2_1/m (No. 11)
One atom of each set of equivalent atoms:
Ca1 0.2286 0.2500 0.4278 [2 per cell]  4 Ir 2.94-3.16, 3 Re 3.23-3.27
Re1 0.3902 0.7500 0.0578 [2 per cell]  2 Re 2.56, 4 Ir 2.60-2.72
Ir1 0.1080 0.2500 0.9138 [2 per cell]  4 Re 2.60-2.72, 2 Ir 2.69

Computed properties:
crystal system = monoclinic

=====

no.,calculated formation energy (eV per atom),magnetic moment (Bohr magnetons per cell),polymorph energy (0 for the lowest one) (meV/atom)
1,0.413,0.000,0
2,3.277,0.000,1604
3,0.022,0.000,167
4,-0.058,0.002,87
5,0.037,0.000,182
6,0.001,0.000,145